Entry 1:
Below is a relaxed structure of KNbCu2, with properties calculated at the PBE level.

Unit cell a=4.768 b=4.768 c=4.768 alpha=60.00 beta=60.00 gamma=60.00
Positions (direct):
K (0.000, 0.000, 0.000)
Nb (0.500, 0.500, 0.500)
Cu (0.250, 0.250, 0.250)
Cu (0.750, 0.750, 0.750)

Output
density of states at the Fermi level: 0.705 states/eV per atom
ΔH_f (0 K): 1.09 eV per atom
energy relative to the lowest polymorph listed for this composition: 0 kJ/mol of formula units



Entry 2:
Below is a relaxed structure of Ce3SmSe4, with properties calculated at the PBE level.

Unit cell a=7.270 b=7.270 c=4.183 alpha=90.00 beta=90.00 gamma=109.35
Positions (direct):
Ce (0.000, 0.000, 0.000)
Ce (0.000, 0.500, 0.500)
Ce (0.500, 0.000, 0.500)
Sm (0.500, 0.500, 0.000)
Se (0.251, 0.749, 0.000)
Se (0.252, 0.252, 0.500)
Se (0.748, 0.748, 0.500)
Se (0.749, 0.251, 0.000)

Output
density of states at the Fermi level: 2.287 states/eV per atom
energy relative to the lowest polymorph listed for this composition: 0 kJ/mol of formula units
formation energy without anion corrections: -1.824 eV per atom



Entry 3:
Below is a relaxed structure of CaVCr2Ir, with properties calculated at the PBE level.

Unit cell a=4.901 b=4.901 c=4.699 alpha=90.00 beta=90.00 gamma=90.00
Positions (direct):
Ca (0.000, 0.000, 0.000)
V (0.500, 0.500, 0.000)
Cr (0.000, 0.500, 0.500)
Cr (0.500, 0.000, 0.500)
Ir (0.500, 0.500, 0.500)

Output
density of states at the Fermi level: 1.034 states/eV per atom
ΔH_f (0 K): 0.66 eV per atom



Entry 4:
Below is a relaxed structure of Er2SnO, with properties calculated at the PBE level.

Unit cell a=7.799 b=7.799 c=7.799 alpha=25.97 beta=25.97 gamma=25.97
Positions (direct):
Er (0.224, 0.224, 0.224)
Er (0.776, 0.776, 0.776)
Sn (0.000, 0.000, 0.000)
O (0.500, 0.500, 0.500)

Output
density of states at the Fermi level: 0.406 states/eV per atom
energy relative to the lowest polymorph listed for this composition: 89 kJ/mol of formula units
formation energy without anion corrections: -1.655 eV per atom



Entry 5:
Below is a relaxed structure of ZrSc2Se, with properties calculated at the PBE level.

Unit cell a=3.576 b=7.115 c=7.115 alpha=29.82 beta=90.00 gamma=90.00
Positions (direct):
Zr (0.000, 0.000, 0.000)
Sc (0.000, 0.720, 0.720)
Sc (0.500, 0.365, 0.365)
Se (0.500, 0.157, 0.157)

Output
density of states at the Fermi level: 1.355 states/eV per atom
formation energy without anion corrections: -0.630 eV per atom



Entry 6:
Below is a relaxed structure of Ho3NiSe, with properties calculated at the PBE level.

Unit cell a=7.742 b=3.830 c=8.257 alpha=90.00 beta=106.22 gamma=90.00
Positions (direct):
Ho (0.080, 0.250, 0.251)
Ho (0.307, 0.250, 0.937)
Ho (0.335, 0.750, 0.595)
Ho (0.665, 0.250, 0.405)
Ho (0.693, 0.750, 0.063)
Ho (0.920, 0.750, 0.749)
Ni (0.069, 0.250, 0.588)
Ni (0.931, 0.750, 0.412)
Se (0.379, 0.750, 0.233)
Se (0.621, 0.250, 0.767)

Output
density of states at the Fermi level: 0.824 states/eV per atom
formation energy without anion corrections: -0.837 eV per atom



Entry 7:
Below is a relaxed structure of Mg2FeCu, with properties calculated at the PBE level.

Unit cell a=5.188 b=5.188 c=4.709 alpha=108.45 beta=108.45 gamma=31.65
Positions (direct):
Mg (0.000, 0.000, 0.000)
Mg (0.214, 0.214, 0.648)
Fe (0.753, 0.753, 0.176)
Cu (0.460, 0.460, 0.471)

Output
density of states at the Fermi level: 0.822 states/eV per atom
ΔH_f (0 K): 0.15 eV per atom



Entry 8:
Below is a relaxed structure of Tb5HfHg6, with properties calculated at the PBE level.

Unit cell a=9.042 b=9.042 c=9.042 alpha=146.59 beta=131.51 gamma=60.16
Positions (direct):
Tb (0.000, 0.000, 0.000)
Tb (0.165, 0.665, 0.500)
Tb (0.331, 0.331, 0.000)
Tb (0.669, 0.669, 0.000)
Tb (0.835, 0.335, 0.500)
Hf (0.500, 0.000, 0.500)
Hg (0.097, 0.839, 0.259)
Hg (0.266, 0.500, 0.766)
Hg (0.420, 0.161, 0.259)
Hg (0.580, 0.839, 0.741)
Hg (0.734, 0.500, 0.234)
Hg (0.903, 0.161, 0.741)

Output
density of states at the Fermi level: 1.072 states/eV per atom
ΔH_f (0 K): -0.37 eV per atom



Entry 9:
Below is a relaxed structure of DyErPt2, with properties calculated at the PBE level.

Unit cell a=4.942 b=4.942 c=3.445 alpha=90.00 beta=90.00 gamma=90.00
Positions (direct):
Dy (0.000, 0.000, 0.000)
Er (0.500, 0.500, 0.000)
Pt (0.000, 0.500, 0.500)
Pt (0.500, 0.000, 0.500)

Output
density of states at the Fermi level: 0.527 states/eV per atom
ΔH_f (0 K): -1.24 eV per atom
energy relative to the lowest polymorph listed for this composition: 20 kJ/mol of formula units



Entry 10:
Below is a relaxed structure of TbHoMg2, with properties calculated at the PBE level.

Unit cell a=5.371 b=5.371 c=3.765 alpha=90.00 beta=90.00 gamma=90.00
Positions (direct):
Tb (0.000, 0.000, 0.000)
Ho (0.500, 0.500, 0.000)
Mg (0.000, 0.500, 0.500)
Mg (0.500, 0.000, 0.500)

Output
density of states at the Fermi level: 1.281 states/eV per atom
ΔH_f (0 K): -0.08 eV per atom



Entry 11:
Below is a relaxed structure of BSe2Br, with properties calculated at the PBE level.

Unit cell a=4.724 b=4.724 c=4.724 alpha=60.00 beta=60.00 gamma=60.00
Positions (direct):
B (0.000, 0.000, 0.000)
Se (0.250, 0.250, 0.250)
Se (0.750, 0.750, 0.750)
Br (0.500, 0.500, 0.500)

Output
density of states at the Fermi level: 0.877 states/eV per atom
energy relative to the lowest polymorph listed for this composition: 445 kJ/mol of formula units
formation energy without anion corrections: 1.494 eV per atom



Entry 12:
Below is a relaxed structure of Hf2BePb, with properties calculated at the PBE level.

Unit cell a=8.505 b=8.505 c=8.505 alpha=22.80 beta=22.80 gamma=22.80
Positions (direct):
Hf (0.232, 0.232, 0.232)
Hf (0.768, 0.768, 0.768)
Be (0.500, 0.500, 0.500)
Pb (0.000, 0.000, 0.000)

Output
density of states at the Fermi level: 0.351 states/eV per atom
ΔH_f (0 K): 0.10 eV per atom
energy relative to the lowest polymorph listed for this composition: 0 kJ/mol of formula units



no.,density (Mg/m³)
1,5.61
2,7.06
3,5.70
4,9.72
5,4.80
6,8.93
7,4.44
8,11.97
9,14.21
10,5.69
11,5.54
12,11.74